No. 1
Entry from Alexandria: an optimized crystal structure of TlFeSe3 (GGA-PBE).

## Properties
- Energy relative to the elements, uncorrected: 4.0 kcal/mol of atoms
- Crystal system: cubic
- Raw total energy: -4.0815 eV per atom
- Offset from the most stable computed form: 0.00 eV per formula unit
- Calculated volume: 112.2 Å³/cell

a b c (Å): 4.823 4.823 4.823
angles (deg): 90.00 90.00 90.00
Atoms (fractional coordinates):
Se (0.000, 0.000, 0.500)
Se (0.500, 0.000, 0.000)
Se (0.000, 0.500, 0.000)
Tl (0.500, 0.500, 0.500)
Fe (0.000, 0.000, 0.000)

=====

No. 2
Entry from Alexandria: an optimized crystal structure of AlZnW (GGA-PBE).

## Properties
- ΔH_f (0 K): 0.54 eV/f.u.
- Crystal system: orthorhombic
- Raw total energy: -5.8101 eV per atom
- Offset from the most stable computed form: 0.17 eV per formula unit
- Calculated volume: 46.5 Å³/cell

a b c (Å): 6.812 6.654 2.741
angles (deg): 81.49 75.06 23.45
Atoms (fractional coordinates):
W (0.335, 0.335, 0.665)
Zn (0.666, 0.666, 0.334)
Al (0.999, 0.999, 0.001)

=====

No. 3
Entry from Alexandria: an optimized crystal structure of MgBi3S6 (GGA-PBE).

## Properties
- Energy relative to the elements, uncorrected: -10.2 kcal/mol of atoms
- Crystal system: trigonal
- Raw total energy: -4.2418 eV per atom
- Calculated volume: 259.7 Å³/cell

a b c (Å): 6.978 6.978 7.360
angles (deg): 61.70 61.70 60.00
Atoms (fractional coordinates):
Bi (0.150, 0.150, 0.550)
Bi (0.350, 0.350, 0.951)
Bi (0.647, 0.647, 0.058)
S (0.220, 0.958, 0.257)
S (0.564, 0.220, 0.257)
S (0.958, 0.564, 0.257)
S (0.738, 0.047, 0.739)
S (0.047, 0.476, 0.739)
S (0.476, 0.738, 0.739)
Mg (0.850, 0.850, 0.451)

=====

No. 4
Entry from Alexandria: an optimized crystal structure of AlTc2Sb (GGA-PBE).

## Properties
- Energy relative to the elements, uncorrected: -1.2 kcal/mol of atoms
- Crystal system: monoclinic
- Raw total energy: -7.1999 eV per atom
- Offset from the most stable computed form: 0.08 eV per formula unit
- Calculated volume: 64.4 Å³/cell

a b c (Å): 4.977 4.977 4.595
angles (deg): 72.61 72.61 36.61
Atoms (fractional coordinates):
Al (0.489, 0.489, 0.558)
Tc (0.746, 0.746, 0.695)
Tc (0.007, 0.007, 0.044)
Sb (0.258, 0.258, 0.202)